Tl2CdHg, optimized geometry, DFT PBEsol; uncorrected energy = -1.720 eV per atom; symmetry = I4/mmm (139)
1.0
-2.3695 2.3695 4.5002
2.3695 -2.3695 4.5002
2.3695 2.3695 -4.5002
Tl Cd Hg
2 1 1
Direct
0.2500 0.7500 0.5000
0.7500 0.2500 0.5000
0.0000 0.0000 0.0000
0.5000 0.5000 0.0000

TlCdHg2, optimized geometry, DFT PBEsol; uncorrected energy = -1.208 eV per atom; symmetry = Cmm2 (35)
1.0
1.7966 -2.7203 0.0000
1.7966 2.7203 0.0000
0.0000 0.0000 9.9776
Tl Cd Hg
1 1 2
Direct
0.0000 0.0000 0.0000
0.5000 0.5000 0.7393
0.0000 0.0000 0.5039
0.5000 0.5000 0.2622

TlCd2Hg, optimized geometry, DFT PBEsol; uncorrected energy = -1.358 eV per atom; symmetry = P2/m (10)
1.0
3.2677 0.0000 0.0000
0.0000 5.0092 0.0000
-0.0525 0.0000 5.9178
Tl Cd Hg
1 2 1
Direct
0.0000 0.0000 0.0000
0.4864 0.5000 0.2477
0.5136 0.5000 0.7523
0.5000 0.0000 0.5000

TlCdHg2, optimized geometry, DFT PBEsol; uncorrected energy = -1.252 eV per atom; symmetry = P4/mmm (123)
1.0
3.3509 0.0000 0.0000
0.0000 3.3509 0.0000
0.0000 0.0000 8.4897
Tl Cd Hg
1 1 2
Direct
0.0000 0.0000 0.0000
0.0000 0.0000 0.5000
0.5000 0.5000 0.2715
0.5000 0.5000 0.7285

TlCd2Hg, optimized geometry, DFT PBEsol; uncorrected energy = -1.332 eV per atom; symmetry = F-43m (216)
1.0
0.0000 3.6273 3.6273
3.6273 0.0000 3.6273
3.6273 3.6273 0.0000
Tl Cd Hg
1 2 1
Direct
0.0000 0.0000 0.0000
0.5000 0.5000 0.5000
0.7500 0.7500 0.7500
0.2500 0.2500 0.2500

Tl2CdHg, optimized geometry, DFT PBEsol; uncorrected energy = -1.675 eV per atom; symmetry = I-42d (122)
1.0
-2.1999 2.1999 10.9667
2.1999 -2.1999 10.9667
2.1999 2.1999 -10.9667
Tl Cd Hg
4 2 2
Direct
0.1242 0.6250 0.9992
0.3750 0.3742 0.4992
0.6258 0.1250 0.0008
0.8750 0.8758 0.5008
0.0000 0.0000 0.0000
0.7500 0.2500 0.5000
0.2500 0.7500 0.5000
0.5000 0.5000 0.0000

TlCdHg2, optimized geometry, DFT PBEsol; uncorrected energy = -1.223 eV per atom; symmetry = R3m (160)
1.0
1.6711 0.9648 9.9988
-1.6711 0.9648 9.9988
0.0000 -1.9296 9.9988
Tl Cd Hg
1 1 2
Direct
0.0000 0.0000 0.0000
0.2462 0.2462 0.2462
0.5015 0.5015 0.5015
0.7546 0.7546 0.7546

TlCd2Hg, optimized geometry, DFT PBEsol; uncorrected energy = -1.359 eV per atom; symmetry = Pmmm (47)
1.0
4.1823 0.0000 0.0000
0.0000 4.7278 0.0000
0.0000 0.0000 4.7471
Tl Cd Hg
1 2 1
Direct
0.0000 0.0000 0.0000
0.5000 0.0000 0.5000
0.5000 0.5000 0.0000
0.0000 0.5000 0.5000

Q: Among the records above, which one has the highest uncorrected energy?
A: number 2

Please write out number 3 again, unchanged.
TlCd2Hg, optimized geometry, DFT PBEsol; uncorrected energy = -1.358 eV per atom; symmetry = P2/m (10)
1.0
3.2677 0.0000 0.0000
0.0000 5.0092 0.0000
-0.0525 0.0000 5.9178
Tl Cd Hg
1 2 1
Direct
0.0000 0.0000 0.0000
0.4864 0.5000 0.2477
0.5136 0.5000 0.7523
0.5000 0.0000 0.5000

Copy entry 1 word for word.
Tl2CdHg, optimized geometry, DFT PBEsol; uncorrected energy = -1.720 eV per atom; symmetry = I4/mmm (139)
1.0
-2.3695 2.3695 4.5002
2.3695 -2.3695 4.5002
2.3695 2.3695 -4.5002
Tl Cd Hg
2 1 1
Direct
0.2500 0.7500 0.5000
0.7500 0.2500 0.5000
0.0000 0.0000 0.0000
0.5000 0.5000 0.0000